Computed, not measured: a relaxed structure of ZrTaPO2 at the PBE level of DFT.

Properties
Crystal system ... tetragonal
Calculated density ... 7.04 Mg/m³

Cell lengths 3.897, 3.897, 5.204 Å; angles 90.00, 90.00, 90.00 degrees
Space group P4/mmm (No. 123)
Symmetry-distinct sites (fractional):
Zr1 0.000 0.000 0.000 (multiplicity 1)
Ta1 0.500 0.500 0.500 (multiplicity 1)
P1 0.500 0.500 0.000 (multiplicity 1)
O1 0.000 0.500 0.500 (multiplicity 2)


Computed, not measured: a relaxed structure of ZrTaPO2 at the PBE level of DFT.

Properties
Crystal system ... tetragonal
Calculated density ... 6.37 Mg/m³

Cell lengths 3.962, 3.962, 5.563 Å; angles 90.00, 90.00, 90.00 degrees
Space group P4/mmm (No. 123)
Symmetry-distinct sites (fractional):
Zr1 0.000 0.000 0.000 (multiplicity 1)
Ta1 0.500 0.500 0.500 (multiplicity 1)
P1 0.000 0.000 0.500 (multiplicity 1)
O1 0.000 0.500 0.000 (multiplicity 2)


Computed, not measured: a relaxed structure of ZrTaP2O at the PBE level of DFT.

Properties
Crystal system ... tetragonal
Calculated density ... 6.36 Mg/m³

Cell lengths 4.914, 4.914, 3.785 Å; angles 90.00, 90.00, 90.00 degrees
Space group P4/mmm (No. 123)
Symmetry-distinct sites (fractional):
Zr1 0.000 0.000 0.000 (multiplicity 1)
Ta1 0.500 0.500 0.500 (multiplicity 1)
P1 0.000 0.500 0.500 (multiplicity 2)
O1 0.500 0.500 0.000 (multiplicity 1)


Number 1: total magnetization 0.4 μB per cell, formation energy from raw total energies -1.56 eV/atom, energy above the most stable polymorph in this dataset 0.000 eV/f.u.. Number 2: total magnetization 1.8 μB per cell, formation energy from raw total energies -1.00 eV/atom, energy above the most stable polymorph in this dataset 2.847 eV/f.u.. Number 3: total magnetization 0.0 μB per cell, formation energy from raw total energies -0.83 eV/atom, energy above the most stable polymorph in this dataset 0.000 eV/f.u..